A plane-wave DFT calculation with PBE was carried out for a geometry-optimized Ca2CrPb structure.

Geometry as CIF:
```
data_Ca2CrPb
_symmetry_space_group_name_H-M 'P 1'
_symmetry_Int_Tables_number 1
_cell_length_a 6.506
_cell_length_b 6.506
_cell_length_c 6.506
_cell_angle_alpha 145.63
_cell_angle_beta 131.34
_cell_angle_gamma 60.93
loop_
_symmetry_equiv_pos_as_xyz
'x,y,z'
loop_
_atom_site_label
_atom_site_type_symbol
_atom_site_fract_x
_atom_site_fract_y
_atom_site_fract_z
Ca1 Ca 0.000 0.000 0.000
Ca2 Ca 0.713 0.213 0.500
Cr1 Cr 0.258 0.758 0.500
Pb1 Pb 0.452 0.452 0.000
```

mass density = 4.88 Mg/m³
crystal system = orthorhombic
density of states at the Fermi level = 3.60 states/eV/cell
spin magnetization = 4.42 μB/f.u.
E_form = 10.3 kJ per mole of atoms
E = -4.2273 eV/atom